1.
A plane-wave DFT calculation with PBE was carried out for LiScCl2 after structural relaxation.

Summary:
The value obtained for the calculated total energy is -4.263 eV per atom. The offset from the most stable computed form comes out at 0.1267 eV/atom. The calculation puts the density of states at the Fermi level at 2.5 states/eV/f.u. The crystal system is monoclinic. The space-group type is P2/m, No. 10.

```
LiScCl2
1.0
3.2637 0.0000 0.0000
0.0000 3.5646 -0.0085
0.0000 -1.7002 7.3182
Sc Li Cl
1 1 2
direct
0.5000 0.7500 0.7500
0.5000 0.2500 0.2500
0.0000 0.6237 0.4608
0.0000 0.8763 0.0392
```

2.
A plane-wave DFT calculation with PBE was carried out for LiScCl2 after structural relaxation.

Summary:
The value obtained for the calculated total energy is -4.269 eV per atom. The offset from the most stable computed form comes out at 0.1210 eV/atom. The calculation puts the density of states at the Fermi level at 2.9 states/eV/f.u. The crystal system is monoclinic. The space-group type is Cm, No. 8.

```
LiScCl2
1.0
6.3918 -0.0005 -0.1953
5.4033 3.4145 -0.1953
0.1137 0.0329 3.4371
Li Sc Cl
1 1 2
direct
0.5123 0.5123 0.6239
0.3066 0.3066 0.1257
0.7149 0.7149 0.6263
0.9663 0.9663 0.1241
```

3.
A plane-wave DFT calculation with PBE was carried out for LiSc2Cl after structural relaxation.

Summary:
The value obtained for the calculated total energy is -4.325 eV per atom. The offset from the most stable computed form comes out at 0.3773 eV/atom. The calculation puts the density of states at the Fermi level at 3.7 states/eV/f.u. The crystal system is orthorhombic. The space-group type is Cmmm, No. 65.

```
LiSc2Cl
1.0
-3.8199 -2.1302 2.6378
3.3753 -3.7902 -0.5732
1.3983 0.8368 2.7007
Cl Li Sc
1 1 2
direct
0.5000 0.0000 0.5000
0.0000 0.5000 0.5000
0.0000 0.0000 0.0000
0.5000 0.5000 0.0000
```

4.
A plane-wave DFT calculation with PBE was carried out for LiScCl2 after structural relaxation.

Summary:
The value obtained for the calculated total energy is -4.362 eV per atom. The offset from the most stable computed form comes out at 0.0275 eV/atom. The calculation puts the density of states at the Fermi level at 1.1 states/eV/f.u. The crystal system is trigonal. The space-group type is R-3m, No. 166.

```
LiScCl2
1.0
-3.0603 1.3661 -0.5455
-2.7539 -1.3748 1.4335
-1.0702 4.2278 6.0213
Li Sc Cl
1 1 2
direct
0.7500 0.7500 0.7500
0.2500 0.2500 0.2500
0.4885 0.4885 0.5334
0.0115 0.0115 0.9666
```

5.
A plane-wave DFT calculation with PBE was carried out for LiScCl2 after structural relaxation.

Summary:
The value obtained for the calculated total energy is -4.177 eV per atom. The offset from the most stable computed form comes out at 0.2125 eV/atom. The calculation puts the density of states at the Fermi level at 0.8 states/eV/f.u. The crystal system is tetragonal. The space-group type is I-42d, No. 122.

```
LiScCl2
1.0
5.9682 0.0000 0.0000
0.0000 5.9682 0.0000
2.9841 2.9841 5.2670
Li Sc Cl
2 2 4
direct
0.5000 0.5000 0.0000
0.2500 0.7500 0.5000
0.0000 0.0000 0.0000
0.7500 0.2500 0.5000
0.8750 0.8339 0.7500
0.1661 0.6250 0.2500
0.3750 0.4161 0.7500
0.5839 0.1250 0.2500
```

6.
A plane-wave DFT calculation with PBE was carried out for Li2ScCl5 after structural relaxation.

Summary:
The value obtained for the calculated total energy is -4.333 eV per atom. The offset from the most stable computed form comes out at 0.0079 eV/atom. The calculation puts the density of states at the Fermi level at 0.0 states/eV/f.u. The crystal system is monoclinic. The space-group type is Cm, No. 8.

```
Li2ScCl5
1.0
5.5185 0.3680 3.2391
3.0314 6.3167 1.5780
0.1419 1.1317 7.0910
Li Cl Sc
2 5 1
direct
0.5972 0.0402 0.6032
0.5972 0.6032 0.0402
0.4128 0.7666 0.7666
0.7267 0.9224 0.9224
0.0834 0.3254 0.8284
0.5322 0.2718 0.2718
0.0834 0.8284 0.3254
0.9671 0.0190 0.0189
```

7.
A plane-wave DFT calculation with PBE was carried out for LiSc2Cl after structural relaxation.

Summary:
The value obtained for the calculated total energy is -4.471 eV per atom. The offset from the most stable computed form comes out at 0.2308 eV/atom. The calculation puts the density of states at the Fermi level at 5.7 states/eV/f.u. The crystal system is orthorhombic. The space-group type is Immm, No. 71.

```
LiSc2Cl
1.0
-0.2195 4.0401 -4.8187
0.4604 1.2203 -6.1554
-4.4658 0.0693 -2.4174
Sc Li Cl
2 1 1
direct
0.4494 0.4494 0.5506
0.0506 0.0506 0.9494
0.2500 0.2500 0.2500
0.7500 0.7500 0.7500
```

8.
A plane-wave DFT calculation with PBE was carried out for LiScCl3 after structural relaxation.

Summary:
The value obtained for the calculated total energy is -4.300 eV per atom. The calculation puts the density of states at the Fermi level at 2.5 states/eV/f.u. The crystal system is cubic. The space-group type is Pm-3m, No. 221.

```
LiScCl3
1.0
5.0582 0.0000 0.0000
0.0000 5.0582 0.0000
0.0000 0.0000 5.0582
Cl Sc Li
3 1 1
direct
0.5000 0.0000 0.0000
0.0000 0.5000 0.0000
0.0000 0.0000 0.5000
0.0000 0.0000 0.0000
0.5000 0.5000 0.5000
```

| no. | formation energy from raw total energies (eV per formula unit) |
| --- | --- |
| 1 | -5.1 |
| 2 | -5.1 |
| 3 | -0.9 |
| 4 | -5.5 |
| 5 | -4.8 |
| 6 | -15.3 |
| 7 | -1.5 |
| 8 | -7.7 |